1.
Ho2TmAgN: relaxed, GGA-PBE. Values from VASP.

## Properties
As for the spin magnetization: 0.001 μB/cell. The formation energy (no corrections) is -0.77 eV per atom. As for the uncorrected energy: -5.73 eV per atom.

Geometry as Quantum ESPRESSO input:
```
&SYSTEM
  ibrav = 0, nat = 5, ntyp = 4
/
ATOMIC_SPECIES
Ho 164.93 Ho.upf
N 14.01 N.upf
Tm 168.93 Tm.upf
Ag 107.87 Ag.upf
ATOMIC_POSITIONS crystal
Ho 0.500 0.000 0.000
Ho 0.000 0.500 0.000
N 0.000 0.000 0.000
Tm 0.000 0.000 0.500
Ag 0.500 0.500 0.500
CELL_PARAMETERS angstrom
4.802 0.000 0.000
0.000 4.802 0.000
0.000 0.000 4.641
```


2.
Sm2ZnBi: relaxed, GGA-PBE. Values from VASP.

## Properties
As for the spin magnetization: 0.002 μB/cell. The calculation puts the energy above the most stable polymorph in this dataset at 0 meV per atom. As for the energy of formation from the pure elements: -2.24 eV/f.u. As for the uncorrected energy: -4.21 eV per atom.

Geometry as Quantum ESPRESSO input:
```
&SYSTEM
  ibrav = 0, nat = 8, ntyp = 3
/
ATOMIC_SPECIES
Sm 150.36 Sm.upf
Bi 208.98 Bi.upf
Zn 65.41 Zn.upf
ATOMIC_POSITIONS crystal
Sm 0.250 0.771 0.560
Sm 0.250 0.304 0.077
Sm 0.750 0.229 0.440
Sm 0.750 0.696 0.923
Bi 0.750 0.123 0.790
Bi 0.250 0.877 0.210
Zn 0.250 0.386 0.708
Zn 0.750 0.614 0.292
CELL_PARAMETERS angstrom
4.286 0.000 0.000
0.000 6.223 -0.269
0.000 -2.507 8.596
```